1.
# Li4Zn2Ga5

Crystalline Li4Zn2Ga5 at its relaxed geometry (PBE-GGA, Alexandria via LeMat-Bulk).

Geometry as POSCAR:
```
Li4Zn2Ga5
1.0
-0.709 1.761 -2.181
-6.475 0.104 2.188
2.571 7.129 4.919
Ga Li Zn
5 4 2
direct
0.000 0.563 0.298 Ga
0.000 0.500 0.000 Ga
0.000 0.810 0.835 Ga
0.000 0.437 0.702 Ga
0.000 0.190 0.165 Ga
0.500 0.831 0.107 Li
0.500 0.288 0.443 Li
0.500 0.712 0.557 Li
0.500 0.169 0.893 Li
0.000 0.940 0.364 Zn
0.000 0.060 0.636 Zn
```

Values from the calculation:
Calculated formation energy: -220 meV per atom
E: -27.76 eV per formula unit
ρ: 4733 kg/m³

2.
# LiTm2Re

Crystalline LiTm2Re at its relaxed geometry (PBE-GGA, Alexandria via LeMat-Bulk).

Geometry as POSCAR:
```
LiTm2Re
1.0
-0.868 0.509 -3.273
0.128 -3.375 -0.559
-7.579 -0.605 1.915
Tm Re Li
2 1 1
direct
0.000 0.000 0.206 Tm
0.000 0.000 0.794 Tm
0.500 0.500 0.000 Re
0.500 0.500 0.500 Li
```

Values from the calculation:
Calculated formation energy: 38 meV per atom
E: -23.15 eV per formula unit
ρ: 9594 kg/m³

3.
# SrLaGaGe

Crystalline SrLaGaGe at its relaxed geometry (PBE-GGA, Alexandria via LeMat-Bulk).

Geometry as POSCAR:
```
SrLaGaGe
1.0
4.670 0.000 0.000
0.000 4.240 0.000
-2.335 0.000 5.795
La Ge Sr Ga
1 1 1 1
direct
0.865 0.500 0.729 La
0.426 0.000 0.853 Ge
0.141 0.000 0.282 Sr
0.568 0.500 0.136 Ga
```

Values from the calculation:
Calculated formation energy: -637 meV per atom
E: -16.80 eV per formula unit
ρ: 5338 kg/m³

4.
# HoCdRhPb

Crystalline HoCdRhPb at its relaxed geometry (PBE-GGA, Alexandria via LeMat-Bulk).

Geometry as POSCAR:
```
HoCdRhPb
1.0
4.980 0.000 0.000
2.490 4.313 0.000
2.490 1.438 4.066
Pb Ho Cd Rh
1 1 1 1
direct
0.000 0.000 0.000 Pb
0.500 0.500 0.500 Ho
0.750 0.750 0.750 Cd
0.250 0.250 0.250 Rh
```

Values from the calculation:
Calculated formation energy: -274 meV per atom
E: -17.65 eV per formula unit
ρ: 11171 kg/m³

5.
# MgPaGa

Crystalline MgPaGa at its relaxed geometry (PBE-GGA, Alexandria via LeMat-Bulk).

Geometry as POSCAR:
```
MgPaGa
1.0
-3.758 -0.854 4.077
-4.476 -2.028 -0.691
0.427 -5.853 3.027
Pa Ga Mg
2 2 2
direct
0.839 0.322 0.000 Pa
0.161 0.678 0.000 Pa
0.613 0.000 0.773 Ga
0.387 0.000 0.227 Ga
0.750 0.500 0.500 Mg
0.250 0.500 0.500 Mg
```

Values from the calculation:
Calculated formation energy: 96 meV per atom
E: -13.83 eV per formula unit
ρ: 7864 kg/m³

6.
# KBSb2Te

Crystalline KBSb2Te at its relaxed geometry (PBE-GGA, Alexandria via LeMat-Bulk).

Geometry as POSCAR:
```
KBSb2Te
1.0
-0.104 1.349 4.810
3.728 -3.181 0.972
3.553 3.857 -1.005
B K Sb Te
1 1 2 1
direct
0.000 0.000 0.000 B
0.500 0.500 0.500 K
0.500 0.000 0.000 Sb
0.000 0.500 0.000 Sb
0.000 0.000 0.500 Te
```

Values from the calculation:
E: -16.89 eV per formula unit
ρ: 5246 kg/m³
Raw formation energy: 0.454 eV/atom

7.
# NaLiErHg

Crystalline NaLiErHg at its relaxed geometry (PBE-GGA, Alexandria via LeMat-Bulk).

Geometry as POSCAR:
```
NaLiErHg
1.0
-3.093 -3.761 1.609
0.888 -4.842 -1.439
1.692 -3.423 3.423
Li Na Er Hg
1 1 1 1
direct
0.000 0.000 0.000 Li
0.750 0.750 0.750 Na
0.250 0.250 0.250 Er
0.500 0.500 0.500 Hg
```

Values from the calculation:
Calculated formation energy: -64 meV per atom
E: -8.36 eV per formula unit
ρ: 6926 kg/m³

8.
# CaTc2PF

Crystalline CaTc2PF at its relaxed geometry (PBE-GGA, Alexandria via LeMat-Bulk).

Geometry as POSCAR:
```
CaTc2PF
1.0
-0.860 -3.301 2.778
5.197 -0.016 1.591
-0.958 2.908 3.159
P F Tc Ca
1 1 2 1
direct
0.000 0.000 0.000 P
0.000 0.500 0.000 F
0.000 0.000 0.500 Tc
0.500 0.000 0.000 Tc
0.500 0.500 0.500 Ca
```

Values from the calculation:
E: -30.53 eV per formula unit
ρ: 4516 kg/m³
Raw formation energy: -0.103 eV/atom

9.
# ScAlRu2

Crystalline ScAlRu2 at its relaxed geometry (PBE-GGA, Alexandria via LeMat-Bulk).

Geometry as POSCAR:
```
ScAlRu2
1.0
-7.766 0.573 2.401
-6.664 -1.276 4.512
-6.352 1.708 4.810
Al Ru Sc
1 2 1
direct
0.750 0.750 0.750 Al
0.004 0.004 0.004 Ru
0.496 0.496 0.496 Ru
0.250 0.250 0.250 Sc
```

Values from the calculation:
Calculated formation energy: -263 meV per atom
E: -29.68 eV per formula unit
ρ: 7263 kg/m³

10.
# LiCe2DyHg4

Crystalline LiCe2DyHg4 at its relaxed geometry (PBE-GGA, Alexandria via LeMat-Bulk).

Geometry as POSCAR:
```
LiCe2DyHg4
1.0
-4.110 -0.481 3.241
-2.558 -4.580 0.340
3.085 -4.179 7.555
Ce Dy Hg Li
2 1 4 1
direct
0.753 0.753 0.742 Ce
0.247 0.247 0.258 Ce
0.000 0.000 0.000 Dy
0.376 0.376 0.873 Hg
0.624 0.624 0.127 Hg
0.874 0.874 0.377 Hg
0.126 0.126 0.623 Hg
0.500 0.500 0.500 Li
```

Values from the calculation:
Calculated formation energy: -352 meV per atom
E: -22.41 eV per formula unit
ρ: 10043 kg/m³

11.
# In2OsPb

Crystalline In2OsPb at its relaxed geometry (PBE-GGA, Alexandria via LeMat-Bulk).

Geometry as POSCAR:
```
In2OsPb
1.0
4.600 0.000 0.000
0.000 3.597 -0.003
0.000 1.803 5.384
In Pb Os
2 1 1
direct
0.000 0.032 0.061 In
0.500 0.446 0.234 In
0.500 0.716 0.693 Pb
0.000 0.305 0.513 Os
```

Values from the calculation:
Calculated formation energy: 526 meV per atom
E: -18.31 eV per formula unit
ρ: 11684 kg/m³

12.
# BPtO2

Crystalline BPtO2 at its relaxed geometry (PBE-GGA, Alexandria via LeMat-Bulk).

Geometry as POSCAR:
```
BPtO2
1.0
2.207 2.952 4.750
1.140 0.829 5.845
3.539 0.701 4.809
O B Pt
2 1 1
direct
0.118 0.118 0.118 O
0.882 0.882 0.882 O
0.500 0.500 0.500 B
0.000 0.000 0.000 Pt
```

Values from the calculation:
E: -26.07 eV per formula unit
ρ: 11452 kg/m³
Raw formation energy: -0.860 eV/atom

Repeat the fifth record exactly.
# MgPaGa

Crystalline MgPaGa at its relaxed geometry (PBE-GGA, Alexandria via LeMat-Bulk).

Geometry as POSCAR:
```
MgPaGa
1.0
-3.758 -0.854 4.077
-4.476 -2.028 -0.691
0.427 -5.853 3.027
Pa Ga Mg
2 2 2
direct
0.839 0.322 0.000 Pa
0.161 0.678 0.000 Pa
0.613 0.000 0.773 Ga
0.387 0.000 0.227 Ga
0.750 0.500 0.500 Mg
0.250 0.500 0.500 Mg
```

Values from the calculation:
Calculated formation energy: 96 meV per atom
E: -13.83 eV per formula unit
ρ: 7864 kg/m³

Question: Which of these has the lowest ρ?
Answer: CaTc2PF

Question: Number 11 is which compound?
Answer: In2OsPb